Record 1
! La2MgGaH, relaxed, DFT GGA-PBE; values from VASP
! relative energy among the computed polymorphs	0.40	eV per formula unit
! electronic total energy	-19.28	eV/cell
&SYSTEM
  ibrav = 0, nat = 5, ntyp = 4
/
ATOMIC_SPECIES
La 138.91 La.upf
Mg 24.30 Mg.upf
Ga 69.72 Ga.upf
H 1.01 H.upf
ATOMIC_POSITIONS angstrom
La 0.000 2.591 0.000
La 2.591 0.000 0.000
Mg 0.000 0.000 2.122
Ga 2.591 2.591 2.122
H 2.591 2.591 0.000
CELL_PARAMETERS angstrom
5.182 0.000 0.000
0.000 5.182 0.000
0.000 0.000 4.245



Record 2
! La2GaMoH, relaxed, DFT GGA-PBE; values from VASP
! electronic total energy	-27.46	eV/cell
&SYSTEM
  ibrav = 0, nat = 5, ntyp = 4
/
ATOMIC_SPECIES
La 138.91 La.upf
Ga 69.72 Ga.upf
Mo 95.94 Mo.upf
H 1.01 H.upf
ATOMIC_POSITIONS angstrom
La 0.000 2.613 0.000
La 2.613 0.000 0.000
Ga 0.000 0.000 1.918
Mo 2.613 2.613 1.918
H 2.613 2.613 0.000
CELL_PARAMETERS angstrom
5.227 0.000 0.000
0.000 5.227 0.000
0.000 0.000 3.837



Record 3
! LaGaNi4H6, relaxed, DFT GGA-PBE; values from VASP
! electronic total energy	-55.05	eV/cell
&SYSTEM
  ibrav = 0, nat = 12, ntyp = 4
/
ATOMIC_SPECIES
La 138.91 La.upf
Ga 69.72 Ga.upf
Ni 58.69 Ni.upf
H 1.01 H.upf
ATOMIC_POSITIONS angstrom
La 0.000 0.000 0.000
Ga 0.000 0.000 3.401
Ni 0.000 2.507 2.204
Ni 0.000 2.507 4.597
Ni 2.171 1.254 2.204
Ni 2.171 1.254 4.597
H -1.086 1.880 1.190
H -1.086 1.880 5.611
H 2.171 0.000 1.190
H 2.171 0.000 5.611
H 1.086 1.880 1.190
H 1.086 1.880 5.611
CELL_PARAMETERS angstrom
4.342 0.000 0.000
-2.171 3.761 0.000
0.000 0.000 6.801



Record 4
! LaGaNi2H, relaxed, DFT GGA-PBE; values from VASP
! electronic total energy	-50.79	eV/cell
&SYSTEM
  ibrav = 0, nat = 10, ntyp = 4
/
ATOMIC_SPECIES
La 138.91 La.upf
Ga 69.72 Ga.upf
Ni 58.69 Ni.upf
H 1.01 H.upf
ATOMIC_POSITIONS angstrom
La 1.990 4.573 5.158
La 1.990 -4.573 1.719
Ga 1.990 3.068 1.719
Ga 1.990 -3.068 5.158
Ni 1.990 1.712 3.835
Ni 1.990 1.712 6.480
Ni 1.990 -1.712 0.397
Ni 1.990 -1.712 3.042
H 1.990 0.000 0.000
H 1.990 0.000 3.438
CELL_PARAMETERS angstrom
1.990 -5.335 0.000
1.990 5.335 0.000
0.000 0.000 6.877



Record 5
! LaGaNiH, relaxed, DFT GGA-PBE; values from VASP
! electronic total energy	-19.14	eV/cell
&SYSTEM
  ibrav = 0, nat = 4, ntyp = 4
/
ATOMIC_SPECIES
La 138.91 La.upf
Ga 69.72 Ga.upf
Ni 58.69 Ni.upf
H 1.01 H.upf
ATOMIC_POSITIONS angstrom
La 0.000 0.000 0.000
Ga 0.000 2.429 2.170
Ni 2.103 1.214 2.466
H 2.103 1.214 4.073
CELL_PARAMETERS angstrom
4.206 0.000 0.000
-2.103 3.643 0.000
0.000 0.000 4.434



Record 6
! LaGaH2O4, relaxed, DFT GGA-PBE; values from VASP
! electronic total energy	-50.06	eV/cell
&SYSTEM
  ibrav = 0, nat = 8, ntyp = 4
/
ATOMIC_SPECIES
La 138.91 La.upf
Ga 69.72 Ga.upf
H 1.01 H.upf
O 16.00 O.upf
ATOMIC_POSITIONS angstrom
La 0.000 0.000 0.000
Ga 0.000 0.000 3.191
H 2.287 0.000 2.083
H 0.000 2.884 1.108
O 0.990 2.128 -1.154
O 1.297 0.756 2.037
O 1.297 -0.756 4.345
O 0.990 3.640 1.154
CELL_PARAMETERS angstrom
-2.287 2.884 3.191
2.287 -2.884 3.191
2.287 2.884 -3.191



Copy entry 5 word for word.
! LaGaNiH, relaxed, DFT GGA-PBE; values from VASP
! electronic total energy	-19.14	eV/cell
&SYSTEM
  ibrav = 0, nat = 4, ntyp = 4
/
ATOMIC_SPECIES
La 138.91 La.upf
Ga 69.72 Ga.upf
Ni 58.69 Ni.upf
H 1.01 H.upf
ATOMIC_POSITIONS angstrom
La 0.000 0.000 0.000
Ga 0.000 2.429 2.170
Ni 2.103 1.214 2.466
H 2.103 1.214 4.073
CELL_PARAMETERS angstrom
4.206 0.000 0.000
-2.103 3.643 0.000
0.000 0.000 4.434



> The lowest electronic total energy belongs to which entry?

LaGaNi4H6



> The highest electronic total energy belongs to which entry?

LaGaNiH



> electronic total energy of number 6 (LaGaH2O4)?

-50.06 eV/cell